1.
DFT (GGA-PBE) results for crystalline UNi8Pd3 at its relaxed geometry.

- Formation energy from the elements: -0.15 eV per atom
- Calculated density: 10.925 Mg/m³
- Fermi-level density of states: 1.268 states/eV/atom

a b c (Å): 4.8174 4.8174 8.2487
angles (deg): 73.02 73.02 60.00
With the nearest neighbours (Å) after each atom.
Atoms (fractional coordinates):
Ni 0.4381 0.9383 0.1855  6 Ni 2.38-2.41
Pd 0.4986 0.4986 0.5043  12 Ni 2.80-2.84, 1 Pd 2.89, 3 U 2.96
Ni 0.1872 0.1872 0.4385  6 Ni 2.39-2.41
Ni 0.4385 0.9367 0.6881  6 Ni 2.38-2.42
Ni 0.6876 0.6876 0.9371  6 Ni 2.38
Pd 0.3747 0.3747 0.8759  12 Ni 2.78-2.82, 4 Pd 2.89-2.94
Ni 0.4381 0.4381 0.1855  6 Ni 2.38-2.41
Pd 0.9999 0.9999 0.0004  12 Ni 2.80-2.82, 1 U 2.89, 3 Pd 2.94
Ni 0.9367 0.4385 0.6881  6 Ni 2.38-2.42
U 0.8757 0.8757 0.3729  12 Ni 2.81-2.83, 4 Pd 2.89-2.96
Ni 0.9367 0.9367 0.6881  6 Ni 2.38-2.42
Ni 0.9383 0.4381 0.1855  6 Ni 2.38-2.41

2.
DFT (GGA-PBE) results for crystalline U3Ni5Pd12 at its relaxed geometry.

- Formation energy from the elements: 0.32 eV per atom
- Calculated density: 9.597 Mg/m³
- Fermi-level density of states: 1.109 states/eV/atom

a b c (Å): 12.7117 12.7117 12.7117
angles (deg): 109.47 109.47 109.47
With the nearest neighbours (Å) after each atom.
Atoms (fractional coordinates):
Pd 0.9503 0.5664 0.1715  2 Ni 2.40-2.43, 1 U 2.58
Pd 0.3839 0.4336 0.1051  2 Ni 2.40-2.43, 1 U 2.58
Pd 0.0664 0.1715 0.4503  2 Ni 2.40-2.43, 1 U 2.58
Pd 0.5497 0.2212 0.1161  2 Ni 2.40-2.43, 1 U 2.58
Ni 0.2500 0.8750 0.1250  4 Pd 2.40
Ni 0.5000 0.0000 0.5000  6 Pd 2.43
Ni 0.3750 0.2500 0.1250  4 Pd 2.40
Pd 0.4503 0.6715 0.0664  2 Ni 2.40-2.43, 1 U 2.58
Pd 0.6715 0.4503 0.5664  2 Ni 2.40-2.43, 1 U 2.58
Pd 0.6161 0.5664 0.8949  2 Ni 2.40-2.43, 1 U 2.58
Ni 0.5000 0.5000 0.0000  6 Pd 2.43
Ni 0.0000 0.0000 0.5000  6 Pd 2.43
Pd 0.1051 0.1715 0.2212  2 Ni 2.40-2.43, 1 U 2.58
Pd 0.5664 0.9503 0.6715  2 Ni 2.40-2.43, 1 U 2.58
U 0.6250 0.2500 0.3750  4 Pd 2.58
Ni 0.0000 0.0000 0.0000  6 Pd 2.43
U 0.3750 0.7500 0.6250  4 Pd 2.58
U 0.7500 0.8750 0.6250  4 Pd 2.58
Pd 0.9336 0.1051 0.8839  2 Ni 2.40-2.43, 1 U 2.58
Pd 0.5664 0.6161 0.3949  2 Ni 2.40-2.43, 1 U 2.58
Pd 0.1161 0.3949 0.0664  2 Ni 2.40-2.43, 1 U 2.58
Pd 0.8949 0.8285 0.7788  2 Ni 2.40-2.43, 1 U 2.58
Pd 0.6051 0.7212 0.6715  2 Ni 2.40-2.43, 1 U 2.58
Pd 0.1715 0.1051 0.7212  2 Ni 2.40-2.43, 1 U 2.58
U 0.6250 0.3750 0.7500  4 Pd 2.58
Ni 0.5000 0.0000 0.0000  6 Pd 2.43
Pd 0.3839 0.9503 0.7788  2 Ni 2.40-2.43, 1 U 2.58
Pd 0.7212 0.1161 0.0497  2 Ni 2.40-2.43, 1 U 2.58
U 0.1250 0.2500 0.8750  4 Pd 2.58
Ni 0.0000 0.5000 0.5000  6 Pd 2.43
Pd 0.4336 0.3839 0.6051  2 Ni 2.40-2.43, 1 U 2.58
U 0.8750 0.1250 0.2500  4 Pd 2.58
Pd 0.6051 0.8839 0.4336  2 Ni 2.40-2.43, 1 U 2.58
Pd 0.7788 0.3285 0.8949  2 Ni 2.40-2.43, 1 U 2.58
Pd 0.5497 0.3285 0.9336  2 Ni 2.40-2.43, 1 U 2.58
Ni 0.8750 0.6250 0.7500  4 Pd 2.40
Ni 0.3750 0.1250 0.7500  4 Pd 2.40
Pd 0.8285 0.9336 0.0497  2 Ni 2.40-2.43, 1 U 2.58
Ni 0.6250 0.7500 0.8750  4 Pd 2.40
Pd 0.0664 0.8949 0.1161  2 Ni 2.40-2.43, 1 U 2.58
Pd 0.1051 0.9336 0.3839  2 Ni 2.40-2.43, 1 U 2.58
Pd 0.2212 0.5497 0.6161  2 Ni 2.40-2.43, 1 U 2.58
Pd 0.8839 0.2788 0.4503  2 Ni 2.40-2.43, 1 U 2.58
Pd 0.7788 0.4503 0.3839  2 Ni 2.40-2.43, 1 U 2.58
U 0.3750 0.6250 0.2500  4 Pd 2.58
Pd 0.4336 0.0497 0.3285  2 Ni 2.40-2.43, 1 U 2.58
Pd 0.2788 0.8839 0.9503  2 Ni 2.40-2.43, 1 U 2.58
Pd 0.1715 0.0664 0.9503  2 Ni 2.40-2.43, 1 U 2.58
Pd 0.3949 0.1161 0.5664  2 Ni 2.40-2.43, 1 U 2.58
U 0.2500 0.1250 0.3750  4 Pd 2.58
Pd 0.2212 0.6715 0.1051  2 Ni 2.40-2.43, 1 U 2.58
Pd 0.0497 0.6161 0.7212  2 Ni 2.40-2.43, 1 U 2.58
Ni 0.7500 0.6250 0.3750  4 Pd 2.40
Pd 0.3285 0.7788 0.3949  2 Ni 2.40-2.43, 1 U 2.58
Pd 0.9336 0.8285 0.5497  2 Ni 2.40-2.43, 1 U 2.58
Ni 0.5000 0.5000 0.5000  6 Pd 2.43
Pd 0.8839 0.6051 0.9336  2 Ni 2.40-2.43, 1 U 2.58
Ni 0.8750 0.2500 0.6250  4 Pd 2.40
Pd 0.0497 0.4336 0.8285  2 Ni 2.40-2.43, 1 U 2.58
Pd 0.3949 0.2788 0.3285  2 Ni 2.40-2.43, 1 U 2.58
Ni 0.1250 0.3750 0.2500  4 Pd 2.40
Pd 0.3285 0.5497 0.4336  2 Ni 2.40-2.43, 1 U 2.58
Pd 0.6161 0.0497 0.2212  2 Ni 2.40-2.43, 1 U 2.58
Pd 0.1161 0.7212 0.5497  2 Ni 2.40-2.43, 1 U 2.58
Pd 0.6715 0.2212 0.6051  2 Ni 2.40-2.43, 1 U 2.58
Ni 0.2500 0.3750 0.6250  4 Pd 2.40
Pd 0.9503 0.3839 0.2788  2 Ni 2.40-2.43, 1 U 2.58
U 0.1250 0.8750 0.7500  4 Pd 2.58
Pd 0.4503 0.7788 0.8839  2 Ni 2.40-2.43, 1 U 2.58
Ni 0.6250 0.8750 0.2500  4 Pd 2.40
Ni 0.7500 0.1250 0.8750  4 Pd 2.40
Pd 0.8949 0.0664 0.6161  2 Ni 2.40-2.43, 1 U 2.58
Ni 0.1250 0.7500 0.3750  4 Pd 2.40
U 0.8750 0.7500 0.1250  4 Pd 2.58
Pd 0.7212 0.6051 0.1715  2 Ni 2.40-2.43, 1 U 2.58
Pd 0.8285 0.8949 0.2788  2 Ni 2.40-2.43, 1 U 2.58
U 0.2500 0.6250 0.8750  4 Pd 2.58
Pd 0.2788 0.3949 0.8285  2 Ni 2.40-2.43, 1 U 2.58
U 0.7500 0.3750 0.1250  4 Pd 2.58
Ni 0.0000 0.5000 0.0000  6 Pd 2.43

3.
DFT (GGA-PBE) results for crystalline UNi10Pd at its relaxed geometry.

- Formation energy from the elements: -0.01 eV per atom
- Calculated density: 9.998 Mg/m³
- Fermi-level density of states: 1.333 states/eV/atom

a b c (Å): 3.9992 4.7557 8.1337
angles (deg): 90.00 90.00 90.00
With the nearest neighbours (Å) after each atom.
Atoms (fractional coordinates):
Ni 0.0000 0.5000 0.1704  6 Ni 2.42-2.43, 1 Pd 2.68
Ni 0.5000 0.5000 0.0000  8 Ni 2.36-2.43
Pd 0.0000 0.5000 0.5000  6 Ni 2.68-2.74
U 0.0000 0.0000 0.0000  6 Ni 2.71-2.75
Ni 0.5000 0.0000 0.5000  8 Ni 2.35-2.42
Ni 0.5000 0.7505 0.7492  8 Ni 2.35-2.42
Ni 0.0000 0.0000 0.3327  6 Ni 2.42, 1 U 2.71
Ni 0.5000 0.2495 0.7492  8 Ni 2.35-2.42
Ni 0.5000 0.2495 0.2508  8 Ni 2.35-2.42
Ni 0.5000 0.7505 0.2508  8 Ni 2.35-2.42
Ni 0.0000 0.5000 0.8296  6 Ni 2.42-2.43, 1 Pd 2.68
Ni 0.0000 0.0000 0.6673  6 Ni 2.42, 1 U 2.71

4.
DFT (GGA-PBE) results for crystalline UNiPd at its relaxed geometry.

- Energy above the most stable polymorph in this dataset: 0.4420 eV per atom
- Formation energy from the elements: 0.30 eV per atom
- Calculated density: 13.085 Mg/m³
- Fermi-level density of states: 1.640 states/eV/atom

a b c (Å): 2.9267 2.9267 13.8970
angles (deg): 83.96 83.96 60.00
With the nearest neighbours (Å) after each atom.
Atoms (fractional coordinates):
Ni 0.7527 0.7527 0.7420  1 Pd 2.44, 3 U 2.63
U 0.1345 0.1345 0.5964  3 Ni 2.63, 6 U 2.93
U 0.8655 0.8655 0.4036  3 Ni 2.63, 6 U 2.93
Pd 0.3064 0.3064 0.0809  1 Ni 2.44
Ni 0.2473 0.2473 0.2580  1 Pd 2.44, 3 U 2.63
Pd 0.6936 0.6936 0.9191  1 Ni 2.44

5.
DFT (GGA-PBE) results for crystalline UNiPd at its relaxed geometry.

- Energy above the most stable polymorph in this dataset: 0.0000 eV per atom
- Formation energy from the elements: -0.14 eV per atom
- Calculated density: 13.189 Mg/m³
- Fermi-level density of states: 1.081 states/eV/atom

a b c (Å): 3.1756 3.1756 5.5116
angles (deg): 106.74 106.74 90.00
With the nearest neighbours (Å) after each atom.
Atoms (fractional coordinates):
Ni 0.6654 0.6654 0.3308  4 Pd 2.71, 4 U 2.74
U 0.3208 0.3208 0.6416  4 Ni 2.74, 4 Pd 2.97
Pd 0.0138 0.0138 0.0276  4 Ni 2.71, 4 U 2.97

6.
DFT (GGA-PBE) results for crystalline U2Ni9Pd at its relaxed geometry.

- Formation energy from the elements: -0.13 eV per atom
- Calculated density: 11.417 Mg/m³
- Fermi-level density of states: 1.449 states/eV/atom

a b c (Å): 4.8311 4.8311 8.4650
angles (deg): 73.42 73.42 60.00
With the nearest neighbours (Å) after each atom.
Atoms (fractional coordinates):
Ni 0.3332 0.3332 0.0005  6 Ni 2.42-2.44
Ni 0.0809 0.5839 0.7513  7 Ni 2.40-2.45
Ni 0.4161 0.4161 0.2487  7 Ni 2.40-2.45
U 0.8646 0.8646 0.4062  9 Ni 2.72-2.89
Ni 0.5000 0.5000 0.5000  6 Ni 2.45
Ni 0.6668 0.6668 0.9995  6 Ni 2.42-2.44
Pd 0.0000 0.0000 0.0000  6 Ni 2.79
Ni 0.4161 0.9191 0.2487  7 Ni 2.40-2.45
Ni 0.5839 0.5839 0.7513  7 Ni 2.40-2.45
Ni 0.5839 0.0809 0.7513  7 Ni 2.40-2.45
Ni 0.9191 0.4161 0.2487  7 Ni 2.40-2.45
U 0.1354 0.1354 0.5938  9 Ni 2.72-2.89

7.
DFT (GGA-PBE) results for crystalline U2NiPd9 at its relaxed geometry.

- Formation energy from the elements: -0.35 eV per atom
- Calculated density: 12.382 Mg/m³
- Fermi-level density of states: 1.864 states/eV/atom

a b c (Å): 4.1098 4.1098 11.8508
angles (deg): 90.00 90.00 90.00
With the nearest neighbours (Å) after each atom.
Atoms (fractional coordinates):
Pd 0.0000 0.5000 0.8425  8 Pd 2.78-2.91, 2 Ni 2.78, 2 U 2.81
Pd 0.0000 0.5000 0.5000  8 Pd 2.89-2.91, 4 U 2.97
Pd 0.5000 0.5000 0.6709  8 Pd 2.89, 4 U 2.91
Pd 0.5000 0.0000 0.1575  8 Pd 2.78-2.91, 2 Ni 2.78, 2 U 2.81
U 0.0000 0.0000 0.6810  12 Pd 2.81-2.97
U 0.0000 0.0000 0.3190  12 Pd 2.81-2.97
Pd 0.5000 0.5000 0.0000  8 Pd 2.78, 4 Ni 2.91
Ni 0.0000 0.0000 0.0000  12 Pd 2.78-2.91
Pd 0.5000 0.0000 0.5000  8 Pd 2.89-2.91, 4 U 2.97
Pd 0.5000 0.0000 0.8425  8 Pd 2.78-2.91, 2 Ni 2.78, 2 U 2.81
Pd 0.5000 0.5000 0.3291  8 Pd 2.89, 4 U 2.91
Pd 0.0000 0.5000 0.1575  8 Pd 2.78-2.91, 2 Ni 2.78, 2 U 2.81

8.
DFT (GGA-PBE) results for crystalline V2Ni8Pd at its relaxed geometry.

- Energy above the most stable polymorph in this dataset: 0.0000 eV per atom
- Formation energy from the elements: -0.13 eV per atom
- Calculated density: 8.805 Mg/m³
- Fermi-level density of states: 1.008 states/eV/atom

a b c (Å): 4.3795 6.6894 5.7074
angles (deg): 120.34 98.18 108.01
With the nearest neighbours (Å) after each atom.
Atoms (fractional coordinates):
Ni 0.9649 0.2736 0.9050  2 V 2.44-2.48, 9 Ni 2.49-2.60, 1 Pd 2.61
Ni 0.0351 0.7264 0.0950  2 V 2.44-2.48, 9 Ni 2.49-2.60, 1 Pd 2.61
Ni 0.4003 0.5446 0.8149  3 V 2.45-2.60, 8 Ni 2.47-2.58, 1 Pd 2.53
Ni 0.1417 0.1958 0.2860  7 Ni 2.47-2.69, 3 V 2.47-2.60, 2 Pd 2.56-2.58
Pd 0.5000 0.0000 0.0000  10 Ni 2.53-2.61, 2 V 2.64
Ni 0.8583 0.8042 0.7140  7 Ni 2.47-2.69, 3 V 2.47-2.60, 2 Pd 2.56-2.58
Ni 0.3197 0.0943 0.6343  2 V 2.43-2.56, 9 Ni 2.49-2.60, 1 Pd 2.56
Ni 0.5997 0.4554 0.1852  3 V 2.45-2.60, 8 Ni 2.47-2.58, 1 Pd 2.53
V 0.7590 0.3656 0.5673  10 Ni 2.43-2.60, 1 Pd 2.64
Ni 0.6803 0.9057 0.3657  2 V 2.43-2.56, 9 Ni 2.49-2.60, 1 Pd 2.56
V 0.2410 0.6344 0.4327  10 Ni 2.43-2.60, 1 Pd 2.64

9.
DFT (GGA-PBE) results for crystalline VNi2Pd7 at its relaxed geometry.

- Formation energy from the elements: 0.44 eV per atom
- Calculated density: 8.338 Mg/m³
- Fermi-level density of states: 1.347 states/eV/atom

a b c (Å): 4.0943 7.1413 7.1414
angles (deg): 119.42 90.00 90.00
With the nearest neighbours (Å) after each atom.
Atoms (fractional coordinates):
V 0.0000 0.0000 0.0000  10 Pd 2.53-2.81
Ni 0.5000 0.6948 0.3052  5 Pd 2.39-2.48
Pd 0.5000 0.5000 0.5000  2 Ni 2.40, 4 Pd 2.65
Pd 0.5000 0.9260 0.7025  2 Ni 2.48-2.74, 5 Pd 2.65-2.76
Pd 0.5000 0.0740 0.2975  2 Ni 2.48-2.74, 5 Pd 2.65-2.76
Ni 0.5000 0.3052 0.6948  5 Pd 2.39-2.48
Pd 0.0000 0.2055 0.7945  2 Ni 2.39, 1 V 2.53
Pd 0.0000 0.7945 0.2055  2 Ni 2.39, 1 V 2.53
Pd 0.5000 0.7025 0.9260  2 Ni 2.48-2.74, 5 Pd 2.65-2.76
Pd 0.5000 0.2975 0.0740  2 Ni 2.48-2.74, 5 Pd 2.65-2.76

10.
DFT (GGA-PBE) results for crystalline V6Ni12Pd at its relaxed geometry.

- Formation energy from the elements: 0.17 eV per atom
- Calculated density: 7.484 Mg/m³
- Fermi-level density of states: 1.064 states/eV/atom

a b c (Å): 6.7602 6.7602 6.7602
angles (deg): 108.29 108.29 108.29
With the nearest neighbours (Å) after each atom.
Atoms (fractional coordinates):
Ni 0.6233 0.8452 0.6233  2 V 2.24-2.46, 2 Ni 2.43
Ni 0.3767 0.1548 0.3767  2 V 2.24-2.46, 2 Ni 2.43
V 0.2462 0.6933 0.6933  6 Ni 2.24-2.46
Ni 0.1548 0.3767 0.3767  2 V 2.24-2.46, 2 Ni 2.43
Ni 0.8905 0.1095 0.5000  4 V 2.33-2.41, 1 Ni 2.40
V 0.3067 0.7538 0.3067  6 Ni 2.24-2.46
V 0.6933 0.6933 0.2462  6 Ni 2.24-2.46
Ni 0.8452 0.6233 0.6233  2 V 2.24-2.46, 2 Ni 2.43
Ni 0.5000 0.8905 0.1095  4 V 2.33-2.41, 1 Ni 2.40
V 0.3067 0.3067 0.7538  6 Ni 2.24-2.46
Ni 0.8905 0.5000 0.1095  4 V 2.33-2.41, 1 Ni 2.40
Ni 0.3767 0.3767 0.1548  2 V 2.24-2.46, 2 Ni 2.43
Ni 0.5000 0.1095 0.8905  4 V 2.33-2.41, 1 Ni 2.40
Pd 0.0000 0.0000 0.0000  6 Ni 2.58
Ni 0.1095 0.8905 0.5000  4 V 2.33-2.41, 1 Ni 2.40
V 0.6933 0.2462 0.6933  6 Ni 2.24-2.46
Ni 0.1095 0.5000 0.8905  4 V 2.33-2.41, 1 Ni 2.40
Ni 0.6233 0.6233 0.8452  2 V 2.24-2.46, 2 Ni 2.43
V 0.7538 0.3067 0.3067  6 Ni 2.24-2.46

Copy entry 7 word for word.
DFT (GGA-PBE) results for crystalline U2NiPd9 at its relaxed geometry.

- Formation energy from the elements: -0.35 eV per atom
- Calculated density: 12.382 Mg/m³
- Fermi-level density of states: 1.864 states/eV/atom

a b c (Å): 4.1098 4.1098 11.8508
angles (deg): 90.00 90.00 90.00
With the nearest neighbours (Å) after each atom.
Atoms (fractional coordinates):
Pd 0.0000 0.5000 0.8425  8 Pd 2.78-2.91, 2 Ni 2.78, 2 U 2.81
Pd 0.0000 0.5000 0.5000  8 Pd 2.89-2.91, 4 U 2.97
Pd 0.5000 0.5000 0.6709  8 Pd 2.89, 4 U 2.91
Pd 0.5000 0.0000 0.1575  8 Pd 2.78-2.91, 2 Ni 2.78, 2 U 2.81
U 0.0000 0.0000 0.6810  12 Pd 2.81-2.97
U 0.0000 0.0000 0.3190  12 Pd 2.81-2.97
Pd 0.5000 0.5000 0.0000  8 Pd 2.78, 4 Ni 2.91
Ni 0.0000 0.0000 0.0000  12 Pd 2.78-2.91
Pd 0.5000 0.0000 0.5000  8 Pd 2.89-2.91, 4 U 2.97
Pd 0.5000 0.0000 0.8425  8 Pd 2.78-2.91, 2 Ni 2.78, 2 U 2.81
Pd 0.5000 0.5000 0.3291  8 Pd 2.89, 4 U 2.91
Pd 0.0000 0.5000 0.1575  8 Pd 2.78-2.91, 2 Ni 2.78, 2 U 2.81